A relaxed Nd6In2Ga crystal, computed with PBE.

Lattice parameters (Å, degrees): 3.834 9.096 9.096 120.00 90.00 90.00
Element x y z (fractional)
In 0.000 0.667 0.333
Nd 0.000 0.000 0.729
Nd 0.000 0.729 0.000
Nd 0.000 0.271 0.271
In 0.000 0.333 0.667
Ga 0.500 0.000 0.000
Nd 0.500 0.611 0.611
Nd 0.500 0.389 0.000
Nd 0.500 0.000 0.389

Properties
- Calculated density: 7.04 g cm⁻³
- D(E_F): 1.1367 states/eV/atom
- E above lowest polymorph: 0.000 eV per formula unit

***

A relaxed NdIn2Ga crystal, computed with PBE.

Lattice parameters (Å, degrees): 3.430 3.430 11.216 81.20 81.20 60.00
Element x y z (fractional)
In 0.097 0.097 0.708
In 0.903 0.903 0.292
Ga 0.500 0.500 0.500
Nd 0.000 0.000 0.000

Properties
- Calculated density: 6.55 g cm⁻³
- D(E_F): 0.6888 states/eV/atom
- E above lowest polymorph: 2.311 eV per formula unit

***

A relaxed NdInGa2 crystal, computed with PBE.

Lattice parameters (Å, degrees): 4.408 11.618 14.412 90.00 90.00 90.00
Element x y z (fractional)
Ga 0.750 0.519 0.459
In 0.750 0.944 0.439
In 0.250 0.830 0.290
Ga 0.750 0.786 0.884
In 0.250 0.670 0.790
Ga 0.250 0.242 0.805
In 0.750 0.170 0.710
Ga 0.250 0.056 0.360
In 0.750 0.556 0.939
Ga 0.250 0.481 0.541
Nd 0.250 0.746 0.545
Ga 0.250 0.258 0.305
Ga 0.750 0.556 0.140
Ga 0.750 0.981 0.959
In 0.750 0.330 0.210
Ga 0.250 0.286 0.616
Nd 0.250 0.754 0.045
Nd 0.250 0.965 0.802
Ga 0.750 0.742 0.695
Nd 0.750 0.254 0.455
Ga 0.750 0.944 0.640
Ga 0.750 0.714 0.384
In 0.250 0.056 0.561
Nd 0.750 0.465 0.698
Ga 0.250 0.019 0.041
Nd 0.750 0.035 0.198
Nd 0.250 0.535 0.302
In 0.250 0.444 0.061
Nd 0.750 0.246 0.955
Ga 0.750 0.758 0.195
Ga 0.250 0.444 0.860
Ga 0.250 0.214 0.116

Properties
- Calculated density: 7.17 g cm⁻³
- D(E_F): 0.2669 states/eV/atom
- E above lowest polymorph: 0.033 eV per formula unit

***

A relaxed Nd4InGa2 crystal, computed with PBE.

Lattice parameters (Å, degrees): 5.239 5.239 9.000 73.08 73.08 60.00
Element x y z (fractional)
Nd 0.869 0.869 0.393
Ga 0.252 0.252 0.244
Nd 0.616 0.616 0.152
In 0.000 0.000 0.000
Ga 0.748 0.748 0.756
Nd 0.131 0.131 0.607
Nd 0.384 0.384 0.848

Properties
- Calculated density: 6.85 g cm⁻³
- D(E_F): 1.0529 states/eV/atom
- E above lowest polymorph: 0.000 eV per formula unit

***

A relaxed Nd4In3Ga crystal, computed with PBE.

Lattice parameters (Å, degrees): 4.662 4.406 11.724 90.00 90.00 90.00
Element x y z (fractional)
Ga 0.500 0.500 0.080
Nd 0.000 0.000 0.136
In 0.000 0.500 0.582
Nd 0.500 0.000 0.641
In 0.000 0.000 0.417
In 0.500 0.000 0.927
Nd 0.000 0.500 0.867
Nd 0.500 0.500 0.351

Properties
- Calculated density: 6.83 g cm⁻³
- D(E_F): 1.1799 states/eV/atom
- E above lowest polymorph: 0.323 eV per formula unit

***

A relaxed Nd8In3Ga2 crystal, computed with PBE.

Lattice parameters (Å, degrees): 5.574 9.024 9.179 119.44 90.00 90.00
Element x y z (fractional)
Nd 0.500 0.588 0.751
Nd 0.500 0.837 0.249
Ga 0.500 0.777 0.553
Nd 0.500 0.163 0.751
Nd 0.000 0.308 0.617
Nd 0.000 0.692 0.383
Nd 0.000 0.108 0.216
Nd 0.000 0.892 0.784
In 0.000 0.328 0.000
Ga 0.500 0.223 0.447
Nd 0.500 0.412 0.249
In 0.500 0.000 0.000
In 0.000 0.672 0.000

Properties
- Calculated density: 6.76 g cm⁻³
- D(E_F): 1.1624 states/eV/atom
- Total DFT energy (no corrections): -4.303 eV/atom